# 1
Computed, not measured: crystalline LiSc2RuC at its relaxed geometry at the GGA-PBE level of DFT.

Cell and atoms, written as POSCAR:
```
LiSc2RuC
1.0
4.5979 0.0000 0.0000
0.0000 4.5979 0.0000
0.0000 0.0000 3.9033
Li Sc Ru C
1 2 1 1
direct
0.0000 0.0000 0.0000
0.0000 0.5000 0.5000
0.5000 0.0000 0.5000
0.5000 0.5000 0.0000
0.5000 0.5000 0.5000
```

The calculation puts the energy of formation from the pure elements at -0.316 eV/atom.


# 2
Computed, not measured: crystalline LiSm2RuC at its relaxed geometry at the GGA-PBE level of DFT.

Cell and atoms, written as POSCAR:
```
LiSm2RuC
1.0
5.1457 0.0000 0.0000
0.0000 5.1457 0.0000
0.0000 0.0000 3.9207
Li Sm Ru C
1 2 1 1
direct
0.0000 0.0000 0.0000
0.0000 0.5000 0.5000
0.5000 0.0000 0.5000
0.5000 0.5000 0.0000
0.5000 0.5000 0.5000
```

The calculation puts the energy of formation from the pure elements at -0.204 eV/atom.


# 3
Computed, not measured: crystalline LiSnRu2C at its relaxed geometry at the GGA-PBE level of DFT.

Cell and atoms, written as POSCAR:
```
LiSnRu2C
1.0
4.0743 0.0000 0.0000
0.0000 4.0743 0.0000
0.0000 0.0000 4.0309
Li Sn Ru C
1 1 2 1
direct
0.0000 0.0000 0.0000
0.5000 0.5000 0.0000
0.0000 0.5000 0.5000
0.5000 0.0000 0.5000
0.0000 0.0000 0.5000
```

The calculation puts the energy of formation from the pure elements at -0.057 eV/atom.


# 4
Computed, not measured: crystalline Sr2LiRuC at its relaxed geometry at the GGA-PBE level of DFT.

Cell and atoms, written as POSCAR:
```
Sr2LiRuC
1.0
5.5577 0.0000 0.0000
0.0000 5.5577 0.0000
0.0000 0.0000 3.9316
Sr Li Ru C
2 1 1 1
direct
0.0000 0.5000 0.0000
0.5000 0.0000 0.0000
0.0000 0.0000 0.5000
0.5000 0.5000 0.5000
0.5000 0.5000 0.0000
```

The calculation puts the energy of formation from the pure elements at 0.132 eV/atom.


# 5
Computed, not measured: crystalline LiY2RuC at its relaxed geometry at the GGA-PBE level of DFT.

Cell and atoms, written as POSCAR:
```
LiY2RuC
1.0
5.0045 0.0000 0.0000
0.0000 5.0045 0.0000
0.0000 0.0000 3.9145
Li Y Ru C
1 2 1 1
direct
0.0000 0.0000 0.0000
0.0000 0.5000 0.5000
0.5000 0.0000 0.5000
0.5000 0.5000 0.0000
0.5000 0.5000 0.5000
```

The calculation puts the energy of formation from the pure elements at -0.280 eV/atom.


# 6
Computed, not measured: crystalline Li2ZnRuC at its relaxed geometry at the GGA-PBE level of DFT.

Cell and atoms, written as POSCAR:
```
Li2ZnRuC
1.0
3.9645 0.0000 0.0000
0.0000 3.9645 0.0000
0.0000 0.0000 3.9368
Li Zn Ru C
2 1 1 1
direct
0.0000 0.5000 0.0000
0.5000 0.0000 0.0000
0.0000 0.0000 0.5000
0.5000 0.5000 0.5000
0.5000 0.5000 0.0000
```

The calculation puts the energy of formation from the pure elements at 0.111 eV/atom.


# 7
Computed, not measured: crystalline LiZrRu2C at its relaxed geometry at the GGA-PBE level of DFT.

Cell and atoms, written as POSCAR:
```
LiZrRu2C
1.0
4.0961 0.0000 0.0000
0.0000 4.0961 0.0000
0.0000 0.0000 4.0125
Li Zr Ru C
1 1 2 1
direct
0.0000 0.0000 0.0000
0.5000 0.5000 0.0000
0.0000 0.5000 0.5000
0.5000 0.0000 0.5000
0.0000 0.0000 0.5000
```

The calculation puts the energy of formation from the pure elements at -0.152 eV/atom.


# 8
Computed, not measured: crystalline LiCS2 at its relaxed geometry at the GGA-PBE level of DFT.

Cell and atoms, written as POSCAR:
```
LiCS2
1.0
1.5497 0.8947 6.9592
-1.5497 0.8947 6.9592
0.0000 -1.7895 6.9592
Li C S
1 1 2
direct
0.0000 0.0000 0.0000
0.5000 0.5000 0.5000
0.1079 0.1079 0.1079
0.8921 0.8921 0.8921
```

The calculation puts the uncorrected formation energy at 0.91 eV per atom.


# 9
Computed, not measured: crystalline LiCS2 at its relaxed geometry at the GGA-PBE level of DFT.

Cell and atoms, written as POSCAR:
```
LiCS2
1.0
1.9586 1.1308 5.8336
-1.9586 1.1308 5.8336
0.0000 -2.2616 5.8336
Li C S
1 1 2
direct
0.0000 0.0000 0.0000
0.5000 0.5000 0.5000
0.4090 0.4090 0.4090
0.5910 0.5910 0.5910
```

The calculation puts the uncorrected formation energy at 0.07 eV per atom.


# 10
Computed, not measured: crystalline LiCS2 at its relaxed geometry at the GGA-PBE level of DFT.

Cell and atoms, written as POSCAR:
```
LiCS2
1.0
-2.6640 2.6640 4.3333
2.6640 -2.6640 4.3333
2.6640 2.6640 -4.3333
Li C S
2 2 4
direct
0.0000 0.0000 0.0000
0.7500 0.2500 0.5000
0.2500 0.7500 0.5000
0.5000 0.5000 0.0000
0.2052 0.6250 0.0802
0.3750 0.4552 0.5802
0.5448 0.1250 0.9198
0.8750 0.7948 0.4198
```

The calculation puts the uncorrected formation energy at 0.34 eV per atom.


# 11
Computed, not measured: crystalline Li3CS at its relaxed geometry at the GGA-PBE level of DFT.

Cell and atoms, written as POSCAR:
```
Li3CS
1.0
4.1349 0.0000 0.0000
0.0000 4.1349 0.0000
0.0000 0.0000 4.1349
Li C S
3 1 1
direct
0.0000 0.0000 0.5000
0.0000 0.5000 0.0000
0.5000 0.0000 0.0000
0.0000 0.0000 0.0000
0.5000 0.5000 0.5000
```

The calculation puts the uncorrected formation energy at 0.24 eV per atom. Its excess energy over the best structure of this formula in the dataset is 0 meV/atom.


# 12
Computed, not measured: crystalline LiSnCS2 at its relaxed geometry at the GGA-PBE level of DFT.

Cell and atoms, written as POSCAR:
```
LiSnCS2
1.0
4.7228 0.0000 0.0000
0.0000 4.7228 0.0000
0.0000 0.0000 4.2271
Li Sn C S
1 1 1 2
direct
0.0000 0.0000 0.0000
0.5000 0.5000 0.0000
0.5000 0.5000 0.5000
0.0000 0.5000 0.5000
0.5000 0.0000 0.5000
```

The calculation puts the uncorrected formation energy at 0.73 eV per atom.